Record 1
A plane-wave DFT calculation with GGA-PBE was carried out for a geometry-optimized La3YTm8 structure.

abc: 8.682 8.682 8.682
angles: 97.97 136.91 97.53
Fractional positions:
La  0.500  0.753  0.253
Tm  0.993  0.245  0.748
Tm  0.007  0.755  0.252
Tm  0.827  0.578  0.751
La  0.500  0.247  0.747
La  0.000  0.500  0.500
Tm  0.503  0.755  0.748
Tm  0.827  0.076  0.249
Tm  0.173  0.422  0.249
Tm  0.173  0.924  0.751
Tm  0.497  0.245  0.252
Y  0.000  0.000  0.000

## Properties
E_tot (eV/atom): -4.4755
Space group: Immm (71)


Record 2
A plane-wave DFT calculation with GGA-PBE was carried out for a geometry-optimized K2CaTa structure.

abc: 7.215 7.215 6.229
angles: 79.77 79.77 26.18
Last column: magnetic moment on the atom in μB.
Fractional positions:
K  0.020  0.020  0.981  0.01
Ta  0.750  0.750  0.750  1.11
K  0.480  0.480  0.519  0.01
Ca  0.250  0.250  0.250  0.04

## Properties
Polymorph energy (0 for the lowest one) (meV/atom): 252
Space group: C2/m (12)


Record 3
A plane-wave DFT calculation with GGA-PBE was carried out for a geometry-optimized Tl2PRh structure.

abc: 5.304 5.304 5.304
angles: 138.43 122.63 73.30
Fractional positions:
P  0.000  0.500  0.500
Rh  0.500  0.000  0.500
Tl  0.750  0.750  0.000
Tl  0.250  0.250  0.000

## Properties
Polymorph energy (0 for the lowest one) (meV/atom): 617
Space group: Immm (71)


Record 4
A plane-wave DFT calculation with GGA-PBE was carried out for a geometry-optimized PmScCd2 structure.

abc: 3.619 3.619 7.640
angles: 90.00 90.00 90.00
Last column: magnetic moment on the atom in μB.
Fractional positions:
Cd  0.000  0.000  0.219  0.00
Sc  0.500  0.500  0.000  0.04
Cd  0.000  0.000  0.781  0.00
Pm  0.500  0.500  0.500  0.18

## Properties
Polymorph energy (0 for the lowest one) (meV/atom): 0
Space group: P4/mmm (123)


Record 5
A plane-wave DFT calculation with GGA-PBE was carried out for a geometry-optimized ZrAs2Pt structure.

abc: 4.502 4.502 3.443
angles: 90.00 90.00 90.00
Fractional positions:
Pt  0.500  0.000  0.500
As  0.000  0.000  0.000
As  0.500  0.500  0.000
Zr  0.000  0.500  0.500

## Properties
E_tot (eV/atom): -6.6211
Space group: P4/mmm (123)


Record 6
A plane-wave DFT calculation with GGA-PBE was carried out for a geometry-optimized Gd3SbO3 structure.

abc: 3.899 6.976 10.744
angles: 82.02 79.55 73.77
Last column: magnetic moment on the atom in μB.
Fractional positions:
O  0.063  0.068  0.805  -0.01
Gd  0.343  0.107  0.207  6.91
Gd  0.880  0.798  0.442  6.90
O  0.663  0.687  0.986  -0.01
Gd  0.120  0.202  0.558  6.90
Gd  0.872  0.357  0.900  6.91
O  0.690  0.029  0.591  0.00
O  0.310  0.971  0.409  0.00
Sb  0.619  0.442  0.321  0.00
O  0.337  0.313  0.014  -0.01
Gd  0.128  0.643  0.100  6.91
O  0.937  0.932  0.195  -0.01
Gd  0.657  0.893  0.793  6.91
Sb  0.381  0.558  0.679  0.00

## Properties
Formation energy from raw total energies (eV per atom): -2.805
Space group: C2/m (12)


Record 7
A plane-wave DFT calculation with GGA-PBE was carried out for a geometry-optimized YMnSb2 structure.

abc: 4.349 4.068 6.111
angles: 71.50 90.00 90.00
Last column: magnetic moment on the atom in μB.
Fractional positions:
Mn  0.500  0.500  0.872  3.88
Sb  0.500  0.268  0.340  -0.06
Sb  0.000  0.004  0.866  -0.08
Y  0.000  0.728  0.422  0.03

## Properties
Formation energy from raw total energies (eV per atom): -0.336
Space group: Pm (6)


Record 8
A plane-wave DFT calculation with GGA-PBE was carried out for a geometry-optimized Al3Te structure.

abc: 5.977 5.977 5.977
angles: 142.32 137.02 58.46
Fractional positions:
Te  0.278  0.000  0.278
Al  0.811  0.500  0.311
Al  0.782  0.743  0.039
Al  0.296  0.257  0.039

## Properties
Polymorph energy (0 for the lowest one) (meV/atom): 94
Formation energy from raw total energies (eV per atom): 0.140
Space group: Imm2 (44)


Record 9
A plane-wave DFT calculation with GGA-PBE was carried out for a geometry-optimized Ca2ZrTc structure.

abc: 3.033 3.033 10.438
angles: 90.00 90.00 90.00
Last column: magnetic moment on the atom in μB.
Fractional positions:
Zr  0.500  0.500  0.750  0.16
Ca  0.000  0.000  0.033  0.01
Tc  0.500  0.500  0.250  0.60
Ca  0.000  0.000  0.467  0.01

## Properties
Polymorph energy (0 for the lowest one) (meV/atom): 564
Space group: P4/mmm (123)


Record 10
A plane-wave DFT calculation with GGA-PBE was carried out for a geometry-optimized PmSmHo6Er2 structure.

abc: 9.518 8.743 8.743
angles: 117.42 93.73 93.73
Fractional positions:
Ho  0.681  0.022  0.568
Ho  0.057  0.120  0.752
Ho  0.619  0.491  0.707
Ho  0.319  0.978  0.432
Pm  0.250  0.408  0.592
Ho  0.819  0.432  0.978
Ho  0.557  0.752  0.120
Ho  0.119  0.707  0.491
Sm  0.250  0.973  0.027
Ho  0.381  0.509  0.293
Ho  0.443  0.248  0.880
Ho  0.181  0.568  0.022
Ho  0.881  0.293  0.509
Ho  0.943  0.880  0.248
Er  0.046  0.300  0.195
Er  0.954  0.700  0.805
Er  0.546  0.195  0.300
Er  0.454  0.805  0.700
Sm  0.750  0.027  0.973
Pm  0.750  0.592  0.408

## Properties
E_tot (eV/atom): -4.4818
Space group: C2/c (15)


Record 11
A plane-wave DFT calculation with GGA-PBE was carried out for a geometry-optimized Nb2AlGe structure.

abc: 7.118 7.118 5.786
angles: 52.04 52.04 90.00
Fractional positions:
Nb  0.375  0.366  0.750
Nb  0.634  0.125  0.250
Ge  0.750  0.250  0.500
Ge  0.000  0.000  0.000
Nb  0.116  0.625  0.250
Al  0.250  0.750  0.500
Nb  0.875  0.884  0.750
Al  0.500  0.500  0.000

## Properties
E_tot (eV/atom): -7.0686
Space group: I-42d (122)


Record 12
A plane-wave DFT calculation with GGA-PBE was carried out for a geometry-optimized HfMgAu structure.

abc: 4.629 4.629 7.359
angles: 71.67 71.67 60.00
Last column: magnetic moment on the atom in μB.
Fractional positions:
Hf  0.290  0.290  0.131  0.23
Hf  0.710  0.710  0.869  0.23
Mg  0.871  0.871  0.387  0.00
Mg  0.129  0.129  0.613  0.00
Au  0.574  0.574  0.278  0.02
Au  0.426  0.426  0.722  0.02

## Properties
E_tot (eV/atom): -5.1256
Space group: R-3m (166)


Record 13
A plane-wave DFT calculation with GGA-PBE was carried out for a geometry-optimized Y5As4S structure.

abc: 4.093 5.783 10.816
angles: 105.51 100.91 90.00
Fractional positions:
As  0.198  0.198  0.397
Y  0.000  0.500  0.000
Y  0.400  0.900  0.799
S  0.000  0.000  0.000
As  0.401  0.401  0.802
Y  0.200  0.700  0.401
Y  0.800  0.300  0.599
Y  0.600  0.100  0.201
As  0.599  0.599  0.198
As  0.802  0.802  0.603

## Properties
Formation energy from raw total energies (eV per atom): -1.673
Space group: Immm (71)


Record 14
A plane-wave DFT calculation with GGA-PBE was carried out for a geometry-optimized LaBePd2Rh structure.

abc: 4.402 4.402 4.402
angles: 90.00 90.00 90.00
Fractional positions:
Rh  0.000  0.000  0.500
Pd  0.000  0.500  0.000
La  0.500  0.500  0.500
Be  0.000  0.000  0.000
Pd  0.500  0.000  0.000

## Properties
E_tot (eV/atom): -5.9856
Space group: P4/mmm (123)


Record 15
A plane-wave DFT calculation with GGA-PBE was carried out for a geometry-optimized HoTmSnTe structure.

abc: 4.357 4.357 7.583
angles: 73.30 73.30 60.00
Fractional positions:
Te  0.195  0.195  0.415
Ho  0.439  0.439  0.682
Tm  0.949  0.949  0.153
Sn  0.693  0.693  0.920

## Properties
Formation energy from raw total energies (eV per atom): -0.994
Space group: R3m (160)


Record 16
A plane-wave DFT calculation with GGA-PBE was carried out for a geometry-optimized Sc3AlN structure.

abc: 17.718 6.402 6.402
angles: 150.80 146.52 33.48
Fractional positions:
N  0.628  0.031  0.969
Sc  0.869  0.736  0.264
N  0.372  0.969  0.031
Sc  0.640  0.395  0.605
Al  0.106  0.058  0.942
Sc  0.624  0.661  0.339
Sc  0.131  0.264  0.736
Al  0.894  0.942  0.058
Sc  0.376  0.339  0.661
Sc  0.360  0.605  0.395

## Properties
Formation energy from raw total energies (eV per atom): -0.784
Space group: C2/m (12)


Record 17
A plane-wave DFT calculation with GGA-PBE was carried out for a geometry-optimized BeGaOs structure.

abc: 2.786 3.951 3.951
angles: 120.00 90.00 90.00
Fractional positions:
Os  0.067  0.000  0.000
Ga  0.562  0.667  0.333
Be  0.371  0.333  0.667

## Properties
E_tot (eV/atom): -5.9534
Space group: P3m1 (156)


Record 18
A plane-wave DFT calculation with GGA-PBE was carried out for a geometry-optimized In4Sn5 structure.

abc: 4.688 5.860 10.381
angles: 72.63 76.95 66.42
Fractional positions:
Sn  0.000  0.000  0.000
In  0.001  0.664  0.333
In  0.334  0.108  0.223
In  0.666  0.892  0.777
Sn  0.667  0.554  0.111
Sn  0.333  0.446  0.889
Sn  0.668  0.222  0.443
Sn  0.332  0.778  0.557
In  0.999  0.336  0.667

## Properties
Polymorph energy (0 for the lowest one) (meV/atom): 0
Space group: C2/m (12)


Record 19
A plane-wave DFT calculation with GGA-PBE was carried out for a geometry-optimized SbCl structure.

abc: 6.020 6.020 6.020
angles: 90.00 90.00 90.00
Fractional positions:
Cl  0.866  0.134  0.634
Cl  0.634  0.866  0.134
Cl  0.366  0.366  0.366
Sb  0.125  0.125  0.125
Sb  0.375  0.875  0.625
Cl  0.134  0.634  0.866
Sb  0.625  0.375  0.875
Sb  0.875  0.625  0.375

## Properties
Polymorph energy (0 for the lowest one) (meV/atom): 456
Formation energy from raw total energies (eV per atom): -0.019
Space group: P2_13 (198)


Record 20
A plane-wave DFT calculation with GGA-PBE was carried out for a geometry-optimized YBeHg3 structure.

abc: 5.962 5.962 5.962
angles: 90.00 90.00 90.00
Fractional positions:
Hg  0.000  0.000  0.500
Y  0.000  0.000  0.000
Be  0.500  0.500  0.500
Hg  0.500  0.000  0.000
Hg  0.000  0.500  0.000

## Properties
Polymorph energy (0 for the lowest one) (meV/atom): 961
Space group: Pm-3m (221)